Mn3WBr: optimized geometry, PBE.

CIF file:
```
data_Mn3WBr
_cell_length_a 4.8134
_cell_length_b 4.8134
_cell_length_c 4.8134
_cell_angle_alpha 90.00
_cell_angle_beta 90.00
_cell_angle_gamma 90.00
_symmetry_space_group_name_H-M 'P m -3 m'
_symmetry_Int_Tables_number 221
_symmetry_space_group_name_Hall '-P 4 2 3'
loop_
_atom_site_label
_atom_site_type_symbol
_atom_site_fract_x
_atom_site_fract_y
_atom_site_fract_z
Mn1 Mn 0.0000 0.0000 0.5000
W1 W 0.0000 0.0000 0.0000
Br1 Br 0.5000 0.5000 0.5000
```

Computed properties:
Formation energy without anion corrections ... 1.350 eV per atom
Relative energy among the computed polymorphs ... 0 meV per atom
Spin magnetization ... 8.785 μB per cell
Total DFT energy (no corrections) ... -7.0767 eV/atom